A relaxed PrMg6Sc crystal, computed with GGA-PBE.

## Properties
**Space-group type**: P4/mmm
**Total DFT energy (no corrections)**: -20.95 eV per formula unit

The structure in POSCAR format:
```
PrMg6Sc
1.0
5.1220 0.0000 0.0000
0.0000 5.1220 0.0000
0.0000 0.0000 7.3395
Pr Mg Sc
1 6 1
Cartesian
0.0000 0.0000 0.0000
0.0000 0.0000 3.6697
0.0000 2.5610 1.9545
0.0000 2.5610 5.3849
2.5610 0.0000 1.9545
2.5610 0.0000 5.3849
2.5610 2.5610 0.0000
2.5610 2.5610 3.6697
```